# 1
The following is a GGA-PBE calculation of MgBeTe2 after structural relaxation, from Alexandria.

Output
- E_form (uncorrected): -0.235 eV/atom

POSCAR file:
```
MgBeTe2
1.0
-2.525 5.001 -7.702
-3.843 1.084 -8.647
-6.244 3.602 -6.225
Be Mg Te
1 1 2
Cartesian
-6.888 5.290 -12.328 Be
-9.132 7.014 -16.345 Mg
-0.269 0.207 -0.481 Te
-2.630 2.020 -4.707 Te
```

# 2
The following is a GGA-PBE calculation of ZrTiNb2S after structural relaxation, from Alexandria.

Output
- E_form (uncorrected): -0.059 eV/atom
- DOS(E_F): 1.126 states/eV/atom

POSCAR file:
```
ZrTiNb2S
1.0
-2.405 3.907 0.067
-3.729 -2.328 1.956
1.621 0.926 4.192
Nb S Zr Ti
2 1 1 1
Cartesian
0.810 0.463 2.096 Nb
-1.202 1.954 0.033 Nb
0.000 0.000 0.000 S
-1.864 -1.164 0.978 Zr
-2.256 1.253 3.107 Ti
```

# 3
The following is a GGA-PBE calculation of InCu2Cl6 after structural relaxation, from Alexandria.

Output
- E_form (uncorrected): -0.738 eV/atom
- DOS(E_F): 0.603 states/eV/atom

POSCAR file:
```
InCu2Cl6
1.0
6.301 -0.041 1.598
2.024 8.799 0.931
-0.095 0.360 9.069
In Cu Cl
2 4 12
Cartesian
1.659 1.062 8.781 In
6.571 8.055 2.817 In
3.049 4.545 7.131 Cu
1.635 3.021 5.182 Cu
5.181 4.572 4.466 Cu
6.595 6.096 6.415 Cu
4.275 6.193 6.263 Cl
1.114 4.176 3.348 Cl
3.955 2.924 5.334 Cl
7.116 4.941 8.249 Cl
7.095 7.957 5.314 Cl
5.448 5.770 2.617 Cl
1.135 1.160 6.283 Cl
2.782 3.347 8.980 Cl
2.466 7.549 9.674 Cl
2.321 0.424 2.248 Cl
5.764 1.568 1.923 Cl
5.909 8.693 9.350 Cl
```

# 4
The following is a GGA-PBE calculation of TiNbVPd after structural relaxation, from Alexandria.

Output
- Calculated formation energy: -0.001 eV per atom
- DOS(E_F): 1.084 states/eV/atom

POSCAR file:
```
TiNbVPd
1.0
-1.550 1.038 -2.381
1.160 -2.204 -1.716
-5.561 -3.856 3.861
Ti Nb V Pd
1 1 1 1
Cartesian
-5.380 -4.582 -0.415 Ti
-1.888 -1.456 0.595 Nb
-0.852 -1.090 -1.841 V
-3.922 -3.025 1.235 Pd
```

# 5
The following is a GGA-PBE calculation of ZrMo4Os after structural relaxation, from Alexandria.

Output
- Calculated formation energy: 0.210 eV per atom
- DOS(E_F): 1.626 states/eV/atom

POSCAR file:
```
ZrMo4Os
1.0
4.140 1.673 2.757
-0.624 1.608 4.956
1.865 -2.902 3.955
Zr Mo Os
1 4 1
Cartesian
0.000 0.000 0.000 Zr
4.099 0.985 5.753 Mo
2.952 -1.322 6.357 Mo
1.697 0.953 6.862 Mo
2.012 0.142 4.363 Mo
4.035 0.284 8.751 Os
```

# 6
The following is a GGA-PBE calculation of Y3Ho2Tl4 after structural relaxation, from Alexandria.

Output
- Calculated formation energy: -0.296 eV per atom
- DOS(E_F): 0.842 states/eV/atom

POSCAR file:
```
Y3Ho2Tl4
1.0
4.666 -0.010 -1.292
-0.687 6.125 -2.530
0.112 -0.867 9.480
Y Ho Tl
3 2 4
Cartesian
0.099 3.712 0.328 Y
3.992 1.536 5.330 Y
0.000 0.000 0.000 Y
2.982 1.386 1.684 Ho
1.109 3.863 3.974 Ho
1.875 4.491 -2.333 Tl
1.120 0.603 4.040 Tl
2.216 0.757 7.991 Tl
2.970 4.645 1.619 Tl
```

# 7
The following is a GGA-PBE calculation of Sr2AlIn after structural relaxation, from Alexandria.

Output
- Calculated formation energy: -0.227 eV per atom
- DOS(E_F): 0.691 states/eV/atom

POSCAR file:
```
Sr2AlIn
1.0
6.686 0.061 0.045
3.088 5.931 -0.045
-4.333 -3.900 3.275
Sr Al In
2 1 1
Cartesian
0.194 0.119 0.000 Sr
3.364 -0.579 1.660 Sr
4.553 2.791 0.000 Al
2.218 2.756 1.615 In
```

# 8
The following is a GGA-PBE calculation of CdW3 after structural relaxation, from Alexandria.

Output
- Calculated formation energy: 0.315 eV per atom
- DOS(E_F): 0.522 states/eV/atom

POSCAR file:
```
CdW3
1.0
2.774 0.002 0.000
-0.893 2.627 0.000
0.000 0.000 9.382
W Cd
3 1
Cartesian
0.000 0.000 4.691 W
0.941 1.315 2.489 W
0.941 1.315 6.893 W
0.000 0.000 0.000 Cd
```